[1]
A plane-wave DFT calculation with PBE-GGA was carried out for HgSbCl after structural relaxation.

Cell lengths 7.893, 7.893, 7.893 Å; angles 156.62, 156.62, 33.30 degrees
Element x y z (fractional)
1 Sb 0.651 0.651 0.000
2 Hg 0.336 0.336 0.000
3 Cl 0.013 0.013 0.000

Computed properties:
Size of the total moment   0.000 μB per cell
Uncorrected formation energy   0.0342 eV/atom
Energy above the most stable polymorph in this dataset   105.3 kJ/mol of formula units
Space-group type   I4mm, No. 107
Total DFT energy (no corrections)   -6.17 eV/cell

[2]
A plane-wave DFT calculation with PBE-GGA was carried out for Hg2SbCl after structural relaxation.

Cell lengths 6.484, 6.484, 6.484 Å; angles 150.38, 126.97, 61.92 degrees
Element x y z (fractional)
1 Hg 0.735 0.235 0.500
2 Hg 0.989 0.989 0.000
3 Cl 0.283 0.783 0.500
4 Sb 0.494 0.494 0.000

Computed properties:
Size of the total moment   0.000 μB per cell
Uncorrected formation energy   -0.0260 eV/atom
Energy above the most stable polymorph in this dataset   88.9 kJ/mol of formula units
Space-group type   Imm2, No. 44
Total DFT energy (no corrections)   -6.68 eV/cell

[3]
A plane-wave DFT calculation with PBE-GGA was carried out for HgSb2Cl after structural relaxation.

Cell lengths 3.363, 3.363, 10.397 Å; angles 90.00, 90.00, 107.78 degrees
Element x y z (fractional)
1 Sb 0.500 0.500 0.265
2 Sb 0.000 0.000 0.033
3 Hg 0.500 0.500 0.741
4 Cl 0.000 0.000 0.461

Computed properties:
Size of the total moment   0.000 μB per cell
Uncorrected formation energy   -0.0326 eV/atom
Energy above the most stable polymorph in this dataset   42.4 kJ/mol of formula units
Space-group type   Cmm2, No. 35
Total DFT energy (no corrections)   -10.52 eV/cell